Material: Na2FeHgF6
Method: DFT, PBE with a Hubbard U
State: optimized geometry

a b c (Å): 5.7564 5.7667 6.0277
angles (deg): 61.60 61.58 60.36
Last column: nearest neighbours and their distance in Å.
Space group P1 (No. 1)
Symmetry-distinct sites (fractional):
Na (0.0000, 0.0000, 0.0000) x1  6 F 2.29-2.45
Na (0.4945, 0.4914, 0.5182) x1  6 F 2.27-2.45
Fe (0.7891, 0.7893, 0.6345) x1  6 F 2.02-2.17
Hg (0.2841, 0.2808, 0.1535) x1  6 F 2.27-2.49
F (0.0468, 0.6905, 0.8294) x1  1 Fe 2.02
F (0.1604, 0.5909, 0.3555) x1  1 Fe 2.17, 1 Na 2.27, 1 Hg 2.27
F (0.4233, 0.0592, 0.8408) x1  1 Fe 2.12, 1 Na 2.29
F (0.5977, 0.8844, 0.3700) x1  1 Fe 2.07, 1 Na 2.28
F (0.6758, 0.4238, 0.8406) x1  1 Fe 2.12, 1 Na 2.31, 1 Hg 2.37
F (0.8911, 0.1626, 0.3538) x1  1 Fe 2.16, 2 Na 2.27-2.42, 1 Hg 2.28

Output
crystal system: triclinic
relative energy among the computed polymorphs: 0 kJ/mol of formula units